# PBE NpMoN, relaxed
data_NpMoN
_chemical_formula_sum 'Np2 Mo2 N2'
_cell_length_a 4.2853
_cell_length_b 4.2941
_cell_length_c 4.7178
_cell_angle_alpha 90.00
_cell_angle_beta 90.00
_cell_angle_gamma 90.00
_space_group_name_H-M_alt 'C m m m'
_space_group_IT_number 65
_space_group_name_Hall '-C 2 2'
loop_
_atom_site_label
_atom_site_type_symbol
_atom_site_fract_x
_atom_site_fract_y
_atom_site_fract_z
_atom_site_occupancy
Np1 Np 0.0000 0.0000 0.0000 1
Mo1 Mo 0.0000 0.5000 0.5000 1
N1 N 0.0000 0.0000 0.5000 1
# - DOS at the Fermi energy (states/eV/cell) = 12.68
# - formation energy (no corrections) (eV per atom) = -0.212
# - ΔE to the lowest computed polymorph (meV/atom) = 0

---

# PBE NpMoN, relaxed
data_NpMoN
_chemical_formula_sum 'Np2 Mo2 N2'
_cell_length_a 2.8042
_cell_length_b 2.8042
_cell_length_c 11.5132
_cell_angle_alpha 90.00
_cell_angle_beta 90.00
_cell_angle_gamma 90.00
_space_group_name_H-M_alt 'I 4 m m'
_space_group_IT_number 107
_space_group_name_Hall 'I 4 -2'
loop_
_atom_site_label
_atom_site_type_symbol
_atom_site_fract_x
_atom_site_fract_y
_atom_site_fract_z
_atom_site_occupancy
Np1 Np 0.0000 0.0000 0.0000 1
Mo1 Mo 0.0000 0.0000 0.2825 1
N1 N 0.0000 0.0000 0.7215 1
# - DOS at the Fermi energy (states/eV/cell) = 9.67
# - formation energy (no corrections) (eV per atom) = 0.132
# - ΔE to the lowest computed polymorph (meV/atom) = 343

---

no.,V (Å³/f.u.)
1,43
2,45